No. 1
CuTc2RhC PBE optimized geometry; magnetization = 3.3 μB/cell; symmetry = P4/mmm; formation energy from the elements = 1.811 eV/atom
1.0
4.6901 0.0000 0.0000
0.0000 4.6901 0.0000
0.0000 0.0000 3.3791
Cu Tc Rh C
1 2 1 1
Cartesian
0.0000 0.0000 0.0000
0.0000 2.3451 0.0000
2.3451 0.0000 0.0000
2.3451 2.3451 1.6896
0.0000 0.0000 1.6896

---

No. 2
KIr2Os PBE optimized geometry; ΔE to the lowest computed polymorph = 117.9 meV/atom; magnetization = 0.0 μB/cell; symmetry = Pmmm; formation energy from the elements = 0.599 eV/atom
1.0
2.7408 0.0000 0.0000
0.0000 3.5948 0.0000
0.0000 0.0000 8.0946
K Ir Os
1 2 1
Cartesian
0.0000 0.0000 0.0000
1.3704 1.7974 2.6700
1.3704 1.7974 5.4245
0.0000 0.0000 4.0473

---

Question: What is the formula in the second record?
Answer: KIr2Os

---

Question: What is the formation energy from the elements in the second record?
Answer: 0.599 eV/atom